1.
Density functional theory data (GGA-PBE) for a relaxed structure of Al2CrPd.

**ΔH_f (0 K)**: 0.04 eV per atom
**DOS at the Fermi energy**: 2.43 states/eV/f.u.

Structure (POSCAR):
```
Al2CrPd
1.0
6.923 0.000 0.000
0.000 6.923 0.000
3.461 3.461 2.752
Cr Al Pd
2 4 2
direct
0.500 0.500 0.000
0.250 0.750 0.500
0.642 0.125 0.250
0.108 0.625 0.250
0.375 0.358 0.750
0.875 0.892 0.750
0.000 0.000 0.000
0.750 0.250 0.500
```

2.
Density functional theory data (GGA-PBE) for a relaxed structure of ScAlCd.

**ΔH_f (0 K)**: -0.25 eV per atom
**DOS at the Fermi energy**: 2.54 states/eV/f.u.

Structure (POSCAR):
```
ScAlCd
1.0
3.153 0.015 0.017
-0.032 5.531 -0.012
3.127 -3.566 7.170
Sc Al Cd
2 2 2
direct
0.715 0.325 0.959
0.119 0.727 0.556
0.923 0.764 0.252
0.912 0.288 0.262
0.256 0.807 0.919
0.579 0.245 0.596
```

3.
Density functional theory data (GGA-PBE) for a relaxed structure of ZrPRu2.

**ΔH_f (0 K)**: -0.30 eV per atom
**DOS at the Fermi energy**: 3.89 states/eV/f.u.

Structure (POSCAR):
```
ZrPRu2
1.0
-1.927 2.268 -0.332
-1.646 -1.067 2.262
3.667 3.767 4.446
Zr P Ru
1 1 2
direct
0.000 0.000 0.502
0.500 0.500 0.797
0.000 0.000 0.962
0.500 0.500 0.239
```

4.
Density functional theory data (GGA-PBE) for a relaxed structure of RbTlPdF6.

**ΔE_f (raw)**: -1.8295 eV/atom

Structure (POSCAR):
```
RbTlPdF6
1.0
5.196 0.128 -0.191
2.744 5.481 -0.406
-0.207 -0.385 6.455
Rb Tl Pd F
1 1 1 6
direct
0.079 0.975 0.003
0.397 0.317 0.510
0.662 0.665 0.487
0.970 0.352 0.345
0.370 0.986 0.637
0.600 0.349 0.795
0.993 0.660 0.666
0.346 0.636 0.311
0.583 0.061 0.245
```

5.
Density functional theory data (GGA-PBE) for a relaxed structure of Sm7Te4S4.

**DOS at the Fermi energy**: 6.82 states/eV/f.u.
**ΔE_f (raw)**: -1.5936 eV/atom

Structure (POSCAR):
```
Sm7Te4S4
1.0
-1.566 6.820 1.160
-2.188 1.333 10.897
9.478 5.457 2.390
Sm Te S
14 8 8
direct
0.500 0.617 0.383
0.500 0.383 0.617
0.117 0.383 0.383
0.883 0.617 0.617
0.751 0.000 0.000
0.249 0.000 0.000
0.714 0.573 0.000
0.286 0.427 0.000
0.286 0.000 0.427
0.714 0.000 0.573
0.000 0.287 0.713
0.000 0.713 0.287
0.287 0.713 0.713
0.713 0.287 0.287
0.869 0.262 0.000
0.131 0.738 0.000
0.131 0.000 0.738
0.869 0.000 0.262
0.500 0.822 0.178
0.500 0.178 0.822
0.322 0.178 0.178
0.678 0.822 0.822
0.103 0.795 0.500
0.397 0.205 0.500
0.397 0.500 0.205
0.103 0.500 0.795
0.897 0.500 0.205
0.603 0.500 0.795
0.603 0.795 0.500
0.897 0.205 0.500
```

6.
Density functional theory data (GGA-PBE) for a relaxed structure of KBa2Mo.

**ΔH_f (0 K)**: 1.05 eV per atom
**DOS at the Fermi energy**: 4.08 states/eV/f.u.
**Excess energy over the best structure of this formula in the dataset**: 1.05 eV/f.u.

Structure (POSCAR):
```
KBa2Mo
1.0
7.178 0.004 0.000
3.027 6.509 0.000
-5.103 -3.256 3.858
Ba K Mo
2 1 1
direct
0.000 0.000 0.000
0.250 0.750 0.500
0.500 0.500 0.000
0.750 0.250 0.500
```

7.
Density functional theory data (GGA-PBE) for a relaxed structure of Cs3La3TiS8.

**ΔE_f (raw)**: -1.7279 eV/atom

Structure (POSCAR):
```
Cs3La3TiS8
1.0
-0.218 1.607 -8.158
-7.028 0.100 4.448
5.852 7.374 1.296
Cs La Ti S
3 3 1 8
direct
0.000 0.000 0.000
0.000 0.500 0.000
0.500 0.500 0.000
0.500 0.000 0.500
0.500 0.500 0.500
0.000 0.500 0.500
0.000 0.000 0.500
0.270 0.540 0.310
0.730 0.460 0.690
0.797 0.594 0.330
0.203 0.406 0.670
0.797 0.033 0.330
0.203 0.967 0.670
0.236 0.033 0.330
0.764 0.967 0.670
```

8.
Density functional theory data (GGA-PBE) for a relaxed structure of CsSr2IO6.

**DOS at the Fermi energy**: 0.00 states/eV/f.u.
**ΔE_f (raw)**: -1.6643 eV/atom

Structure (POSCAR):
```
CsSr2IO6
1.0
6.620 0.386 0.278
3.414 5.685 0.278
3.414 2.066 5.304
Cs Sr I O
1 2 1 6
direct
0.469 0.469 0.469
0.214 0.214 0.214
0.688 0.688 0.688
0.015 0.015 0.015
0.356 0.021 0.880
0.021 0.880 0.356
0.985 0.196 0.677
0.677 0.985 0.196
0.880 0.356 0.021
0.196 0.677 0.985
```

| no. | size of the total moment (μB/cell) |
| --- | --- |
| 1 | 6.0 |
| 2 | 0.0 |
| 3 | 0.0 |
| 4 | 0.1 |
| 5 | 1.7 |
| 6 | 3.6 |
| 7 | 0.0 |
| 8 | 0.0 |